Record 1
# Ho3Mg3Zn8 (PBE, optimized geometry)
# formation energy = -0.28 eV per atom
data_Ho3Mg3Zn8
_chemical_formula_sum 'Ho6 Mg6 Zn16'
_cell_length_a 4.458
_cell_length_b 9.070
_cell_length_c 13.424
_cell_angle_alpha 90.00
_cell_angle_beta 90.00
_cell_angle_gamma 90.00
_symmetry_space_group_name_H-M 'I m m m'
_symmetry_Int_Tables_number 71
_symmetry_space_group_name_Hall '-I 2 2'
loop_
_atom_site_label
_atom_site_fract_x
_atom_site_fract_y
_atom_site_fract_z
_atom_site_occupancy
Ho1 0.000 0.000 0.000 1
Ho2 0.000 0.000 0.292 1
Mg1 0.000 0.204 0.500 1
Mg2 0.000 0.500 0.000 1
Zn1 0.000 0.274 0.145 1
Zn2 0.000 0.364 0.335 1

Record 2
# La2PrSn (PBE, optimized geometry)
# formation energy = -0.48 eV per atom
# distance to the lowest polymorph of the same formula = 0.00 eV/f.u.
data_La2PrSn
_chemical_formula_sum 'La2 Pr1 Sn1'
_cell_length_a 4.983
_cell_length_b 4.983
_cell_length_c 5.088
_cell_angle_alpha 90.00
_cell_angle_beta 90.00
_cell_angle_gamma 90.00
_symmetry_space_group_name_H-M 'P 4/m m m'
_symmetry_Int_Tables_number 123
_symmetry_space_group_name_Hall '-P 4 2'
loop_
_atom_site_label
_atom_site_fract_x
_atom_site_fract_y
_atom_site_fract_z
_atom_site_occupancy
La1 0.000 0.500 0.000 1
Pr1 0.000 0.000 0.500 1
Sn1 0.500 0.500 0.500 1

Record 3
# SrCr2BTe (PBE, optimized geometry)
# energy relative to the elements, uncorrected = 2.746 eV/atom
data_SrCr2BTe
_chemical_formula_sum 'Sr1 Cr2 B1 Te1'
_cell_length_a 4.833
_cell_length_b 4.833
_cell_length_c 4.592
_cell_angle_alpha 90.00
_cell_angle_beta 90.00
_cell_angle_gamma 90.00
_symmetry_space_group_name_H-M 'P 4/m m m'
_symmetry_Int_Tables_number 123
_symmetry_space_group_name_Hall '-P 4 2'
loop_
_atom_site_label
_atom_site_fract_x
_atom_site_fract_y
_atom_site_fract_z
_atom_site_occupancy
Sr1 0.000 0.000 0.000 1
Cr1 0.000 0.500 0.000 1
B1 0.000 0.000 0.500 1
Te1 0.500 0.500 0.500 1

Record 4
# AcTbCo (PBE, optimized geometry)
# formation energy = -0.07 eV per atom
# distance to the lowest polymorph of the same formula = 0.00 eV/f.u.
data_AcTbCo
_chemical_formula_sum 'Ac4 Tb4 Co4'
_cell_length_a 12.928
_cell_length_b 3.893
_cell_length_c 8.500
_cell_angle_alpha 90.00
_cell_angle_beta 127.83
_cell_angle_gamma 90.00
_symmetry_space_group_name_H-M 'C 1 2/m 1'
_symmetry_Int_Tables_number 12
loop_
_symmetry_equiv_pos_as_xyz
'x,y,z'
'-x,-y,-z'
'-x,y,-z'
'x,-y,z'
'x+1/2,y+1/2,z'
'-x+1/2,-y+1/2,-z'
'-x+1/2,y+1/2,-z'
'x+1/2,-y+1/2,z'
loop_
_atom_site_label
_atom_site_fract_x
_atom_site_fract_y
_atom_site_fract_z
_atom_site_occupancy
Ac1 0.070 0.000 0.366 1
Tb1 0.190 0.500 0.091 1
Co1 0.121 0.500 0.697 1

Table of calculated volume (Å³/atom), in record order: 19.39, 31.58, 21.45, 28.16
Table of final energy (eV/atom), in record order: -2.328, -5.140, -3.403, -5.353